a) ## InSiCl2 (PBE)

Data for an optimized crystal structure of InSiCl2.

Output
**Fermi-level density of states**: 1.8 states/eV per cell

abc: 5.3921 5.3921 3.2874
angles: 90.00 90.00 101.66
Atoms (fractional coordinates):
In (0.0000, 0.0000, 0.0000)
Si (0.5000, 0.5000, 0.0000)
Cl (0.0000, 0.5000, 0.5000)
Cl (0.5000, 0.0000, 0.5000)

=====

b) ## InSiCl2 (PBE)

Data for an optimized crystal structure of InSiCl2.

Output
**Fermi-level density of states**: 1.4 states/eV per cell

abc: 3.4880 3.4880 9.1968
angles: 90.00 90.00 120.35
Atoms (fractional coordinates):
In (0.0000, 0.0000, 0.0000)
Si (0.0000, 0.0000, 0.5000)
Cl (0.5000, 0.5000, 0.2905)
Cl (0.5000, 0.5000, 0.7095)

=====

It is b) that is the most stable of them.

=====

a) ## InSiCl2 (PBE)

Data for an optimized crystal structure of InSiCl2.

Output
**Fermi-level density of states**: 1.2 states/eV per cell

abc: 3.3375 3.8093 7.8723
angles: 90.00 90.04 90.00
Atoms (fractional coordinates):
In (0.0000, 0.0000, 0.0000)
Si (0.5000, 0.0000, 0.5000)
Cl (0.4985, 0.5000, 0.2687)
Cl (0.5015, 0.5000, 0.7313)

=====

b) ## InSiCl2 (PBE)

Data for an optimized crystal structure of InSiCl2.

Output
**Fermi-level density of states**: 3.1 states/eV per cell

abc: 9.3178 9.3178 9.3178
angles: 22.61 22.61 22.61
Atoms (fractional coordinates):
In (0.0000, 0.0000, 0.0000)
Si (0.7436, 0.7436, 0.7436)
Cl (0.2668, 0.2668, 0.2668)
Cl (0.4697, 0.4697, 0.4697)

=====

It is a) that is the most stable of them.

=====

a) ## InSi2Cl (PBE)

Data for an optimized crystal structure of InSi2Cl.

Output
**Fermi-level density of states**: 2.6 states/eV per cell

abc: 7.0162 7.0162 7.0162
angles: 148.69 148.69 44.87
Atoms (fractional coordinates):
In (0.0000, 0.0000, 0.0000)
Si (0.2500, 0.7500, 0.5000)
Si (0.7500, 0.2500, 0.5000)
Cl (0.5000, 0.5000, 0.0000)

=====

b) ## InSi2Cl (PBE)

Data for an optimized crystal structure of InSi2Cl.

Output
**Fermi-level density of states**: 1.7 states/eV per cell

abc: 6.4055 6.4055 2.8769
angles: 90.00 90.00 132.87
Atoms (fractional coordinates):
In (0.0000, 0.0000, 0.0000)
Si (0.0000, 0.5000, 0.5000)
Si (0.5000, 0.0000, 0.5000)
Cl (0.5000, 0.5000, 0.0000)

=====

It is a) that is the most stable of them.

=====

a) ## InSi2Cl (PBE)

Data for an optimized crystal structure of InSi2Cl.

Output
**Fermi-level density of states**: 1.3 states/eV per cell

abc: 8.1293 8.1293 8.1293
angles: 27.57 27.57 27.57
Atoms (fractional coordinates):
In (0.0000, 0.0000, 0.0000)
Si (0.2334, 0.2334, 0.2334)
Si (0.5386, 0.5386, 0.5386)
Cl (0.7418, 0.7418, 0.7418)

=====

b) ## InSi2Cl (PBE)

Data for an optimized crystal structure of InSi2Cl.

Output
**Fermi-level density of states**: 1.2 states/eV per cell

abc: 3.3140 3.3140 8.5442
angles: 90.00 90.00 106.93
Atoms (fractional coordinates):
In (0.0000, 0.0000, 0.0000)
Si (0.0000, 0.0000, 0.5553)
Si (0.5000, 0.5000, 0.7111)
Cl (0.5000, 0.5000, 0.2257)

=====

c) ## InSi2Cl (PBE)

Data for an optimized crystal structure of InSi2Cl.

Output
**Fermi-level density of states**: 1.3 states/eV per cell

abc: 2.9279 5.3473 5.3858
angles: 90.00 90.00 90.00
Atoms (fractional coordinates):
In (0.0000, 0.0000, 0.0000)
Si (0.5000, 0.2385, 0.5000)
Si (0.5000, 0.7615, 0.5000)
Cl (0.0000, 0.5000, 0.0000)

=====

d) ## InSi2Cl (PBE)

Data for an optimized crystal structure of InSi2Cl.

Output
**Fermi-level density of states**: 2.2 states/eV per cell

abc: 4.8190 4.8190 4.8190
angles: 60.00 60.00 60.00
Atoms (fractional coordinates):
In (0.0000, 0.0000, 0.0000)
Si (0.2500, 0.2500, 0.2500)
Si (0.5000, 0.5000, 0.5000)
Cl (0.7500, 0.7500, 0.7500)

=====

It is a) that is the most stable of them.

=====

a) ## InSi2Cl (PBE)

Data for an optimized crystal structure of InSi2Cl.

Output
**Fermi-level density of states**: 2.3 states/eV per cell

abc: 3.7727 5.5432 4.5814
angles: 90.00 101.52 90.00
Atoms (fractional coordinates):
In (0.0000, 0.0000, 0.0000)
Si (0.2079, 0.5000, 0.8389)
Si (0.7921, 0.5000, 0.1611)
Cl (0.5000, 0.0000, 0.5000)

=====

b) ## InSi2Cl (PBE)

Data for an optimized crystal structure of InSi2Cl.

Output
**Fermi-level density of states**: 1.7 states/eV per cell

abc: 9.8616 9.8616 9.8616
angles: 18.05 18.05 18.05
Atoms (fractional coordinates):
In (0.0000, 0.0000, 0.0000)
Si (0.2409, 0.2409, 0.2409)
Si (0.7591, 0.7591, 0.7591)
Cl (0.5000, 0.5000, 0.5000)

=====

c) ## InSi2Cl (PBE)

Data for an optimized crystal structure of InSi2Cl.

Output
**Fermi-level density of states**: 3.8 states/eV per cell

abc: 10.4306 10.4306 10.4306
angles: 156.29 156.29 33.78
Atoms (fractional coordinates):
In (0.0000, 0.0000, 0.0000)
In (0.7500, 0.2500, 0.5000)
Si (0.2091, 0.6250, 0.0841)
Si (0.3750, 0.4591, 0.5841)
Si (0.5409, 0.1250, 0.9159)
Si (0.8750, 0.7909, 0.4159)
Cl (0.2500, 0.7500, 0.5000)
Cl (0.5000, 0.5000, 0.0000)

=====

It is a) that is the most stable of them.

=====

a) ## InSi2Cl (PBE)

Data for an optimized crystal structure of InSi2Cl.

Output
**Fermi-level density of states**: 1.1 states/eV per cell

abc: 3.8980 3.8980 5.7806
angles: 90.00 90.00 90.00
Atoms (fractional coordinates):
In (0.0000, 0.0000, 0.0000)
Si (0.0000, 0.0000, 0.4785)
Si (0.5000, 0.5000, 0.4669)
Cl (0.5000, 0.5000, 0.8728)

=====

b) ## InSi2Cl (PBE)

Data for an optimized crystal structure of InSi2Cl.

Output
**Fermi-level density of states**: 1.3 states/eV per cell

abc: 3.1080 5.0100 5.1883
angles: 90.00 90.00 90.00
Atoms (fractional coordinates):
In (0.0000, 0.0000, 0.0000)
Si (0.0000, 0.5000, 0.5000)
Si (0.5000, 0.0000, 0.5000)
Cl (0.5000, 0.5000, 0.0000)

=====

c) ## InSi2Cl (PBE)

Data for an optimized crystal structure of InSi2Cl.

Output
**Fermi-level density of states**: 1.2 states/eV per cell

abc: 6.3553 6.3553 4.8162
angles: 112.10 112.10 27.79
Atoms (fractional coordinates):
In (0.0000, 0.0000, 0.0000)
Si (0.2750, 0.2750, 0.7757)
Si (0.7250, 0.7250, 0.2243)
Cl (0.5000, 0.5000, 0.5000)

=====

d) ## InSi2Cl (PBE)

Data for an optimized crystal structure of InSi2Cl.

Output
**Fermi-level density of states**: 0.8 states/eV per cell

abc: 5.1134 3.8541 5.1662
angles: 90.00 117.62 90.00
Atoms (fractional coordinates):
In (0.0000, 0.0000, 0.0000)
Si (0.2962, 0.5000, 0.4609)
Si (0.3934, 0.0000, 0.7705)
Cl (0.7000, 0.5000, 0.4095)

=====

It is d) that is the most stable of them.

=====

a) ## InSn2Cl5 (PBE)

Data for an optimized crystal structure of InSn2Cl5.

Output
**Fermi-level density of states**: 0.0 states/eV per cell

abc: 6.9779 6.9779 14.4690
angles: 90.00 90.00 132.22
Atoms (fractional coordinates):
In (0.0186, 0.9814, 0.7500)
In (0.9814, 0.0186, 0.2500)
Sn (0.3527, 0.6473, 0.5671)
Sn (0.3527, 0.6473, 0.9329)
Sn (0.6473, 0.3527, 0.0671)
Sn (0.6473, 0.3527, 0.4329)
Cl (0.1391, 0.8609, 0.0729)
Cl (0.1391, 0.8609, 0.4271)
Cl (0.2911, 0.7089, 0.7500)
Cl (0.4520, 0.5480, 0.1202)
Cl (0.4520, 0.5480, 0.3798)
Cl (0.5480, 0.4520, 0.6202)
Cl (0.5480, 0.4520, 0.8798)
Cl (0.7089, 0.2911, 0.2500)
Cl (0.8609, 0.1391, 0.5729)
Cl (0.8609, 0.1391, 0.9271)

=====

b) ## InSn2Cl5 (PBE)

Data for an optimized crystal structure of InSn2Cl5.

Output
**Fermi-level density of states**: 0.0 states/eV per cell

abc: 8.9522 8.5256 12.7695
angles: 90.00 91.17 90.00
Atoms (fractional coordinates):
In (0.0057, 0.0444, 0.3262)
In (0.0057, 0.4556, 0.8262)
In (0.9943, 0.5444, 0.1738)
In (0.9943, 0.9556, 0.6738)
Sn (0.2351, 0.5279, 0.4918)
Sn (0.2351, 0.9721, 0.9918)
Sn (0.4795, 0.5513, 0.8368)
Sn (0.4795, 0.9487, 0.3368)
Sn (0.5205, 0.0513, 0.6632)
Sn (0.5205, 0.4487, 0.1632)
Sn (0.7649, 0.0279, 0.0082)
Sn (0.7649, 0.4721, 0.5082)
Cl (0.0393, 0.1674, 0.0808)
Cl (0.0393, 0.3326, 0.5808)
Cl (0.2364, 0.1498, 0.8234)
Cl (0.2364, 0.3502, 0.3234)
Cl (0.2477, 0.6734, 0.7274)
Cl (0.2477, 0.8266, 0.2274)
Cl (0.2923, 0.5374, 0.9922)
Cl (0.2923, 0.9626, 0.4922)
Cl (0.4577, 0.1601, 0.1030)
Cl (0.4577, 0.3399, 0.6030)
Cl (0.5423, 0.6601, 0.3970)
Cl (0.5423, 0.8399, 0.8970)
Cl (0.7077, 0.0374, 0.5078)
Cl (0.7077, 0.4626, 0.0078)
Cl (0.7523, 0.1734, 0.7726)
Cl (0.7523, 0.3266, 0.2726)
Cl (0.7636, 0.6498, 0.6766)
Cl (0.7636, 0.8502, 0.1766)
Cl (0.9607, 0.6674, 0.4192)
Cl (0.9607, 0.8326, 0.9192)

=====

It is b) that is the most stable of them.

=====

a) ## In2Sn3Cl8 (PBE)

Data for an optimized crystal structure of In2Sn3Cl8.

Output
**Fermi-level density of states**: 0.0 states/eV per cell

abc: 8.8880 8.8880 7.3379
angles: 107.18 107.18 57.14
Atoms (fractional coordinates):
In (0.2268, 0.2268, 0.1612)
In (0.7732, 0.7732, 0.8388)
Sn (0.2406, 0.7594, 0.5000)
Sn (0.5000, 0.5000, 0.0000)
Sn (0.7594, 0.2406, 0.5000)
Cl (0.1086, 0.1086, 0.4423)
Cl (0.1566, 0.6217, 0.0991)
Cl (0.3783, 0.8434, 0.9009)
Cl (0.3908, 0.3908, 0.5966)
Cl (0.6092, 0.6092, 0.4034)
Cl (0.6217, 0.1566, 0.0991)
Cl (0.8434, 0.3783, 0.9009)
Cl (0.8914, 0.8914, 0.5577)

=====

b) ## In2Sn3Cl8 (PBE)

Data for an optimized crystal structure of In2Sn3Cl8.

Output
**Fermi-level density of states**: 0.0 states/eV per cell

abc: 8.4849 8.4849 7.2713
angles: 90.01 90.01 60.85
Atoms (fractional coordinates):
In (0.2175, 0.2175, 0.9996)
In (0.7825, 0.7825, 0.0004)
Sn (0.2434, 0.7566, 0.5000)
Sn (0.5000, 0.5000, 0.0000)
Sn (0.7566, 0.2434, 0.5000)
Cl (0.1057, 0.1057, 0.3591)
Cl (0.1553, 0.6231, 0.1745)
Cl (0.3769, 0.8447, 0.8255)
Cl (0.3899, 0.3899, 0.6747)
Cl (0.6101, 0.6101, 0.3253)
Cl (0.6231, 0.1553, 0.1745)
Cl (0.8447, 0.3769, 0.8255)
Cl (0.8943, 0.8943, 0.6409)

=====

It is a) that is the most stable of them.